Version w
LuFeGePd: relaxed, PBE.

Unit cell a=6.368 b=6.368 c=6.368 alpha=90.00 beta=90.00 gamma=90.00
Atoms (fractional coordinates):
Lu 0.000 0.000 0.000
Lu 0.000 0.500 0.500
Lu 0.500 0.000 0.500
Lu 0.500 0.500 0.000
Fe 0.250 0.250 0.750
Fe 0.250 0.750 0.250
Fe 0.750 0.250 0.250
Fe 0.750 0.750 0.750
Ge 0.000 0.000 0.500
Ge 0.000 0.500 0.000
Ge 0.500 0.000 0.000
Ge 0.500 0.500 0.500
Pd 0.250 0.250 0.250
Pd 0.250 0.750 0.750
Pd 0.750 0.250 0.750
Pd 0.750 0.750 0.250

## Properties
Calculated volume (Å³ per cell): 258.23

Version x
LuFeGePd: relaxed, PBE.

Unit cell a=6.510 b=6.510 c=6.510 alpha=90.00 beta=90.00 gamma=90.00
Atoms (fractional coordinates):
Lu 0.000 0.000 0.000
Lu 0.000 0.500 0.500
Lu 0.500 0.000 0.500
Lu 0.500 0.500 0.000
Fe 0.000 0.000 0.500
Fe 0.000 0.500 0.000
Fe 0.500 0.000 0.000
Fe 0.500 0.500 0.500
Ge 0.250 0.250 0.250
Ge 0.250 0.750 0.750
Ge 0.750 0.250 0.750
Ge 0.750 0.750 0.250
Pd 0.250 0.250 0.750
Pd 0.250 0.750 0.250
Pd 0.750 0.250 0.250
Pd 0.750 0.750 0.750

## Properties
Calculated volume (Å³ per cell): 275.93

Most stable of them? version w.

Version w
LuFeGePt: relaxed, PBE.

Unit cell a=6.516 b=6.516 c=6.516 alpha=90.00 beta=90.00 gamma=90.00
Atoms (fractional coordinates):
Lu 0.000 0.000 0.000
Lu 0.000 0.500 0.500
Lu 0.500 0.000 0.500
Lu 0.500 0.500 0.000
Fe 0.000 0.000 0.500
Fe 0.000 0.500 0.000
Fe 0.500 0.000 0.000
Fe 0.500 0.500 0.500
Ge 0.250 0.250 0.250
Ge 0.250 0.750 0.750
Ge 0.750 0.250 0.750
Ge 0.750 0.750 0.250
Pt 0.250 0.250 0.750
Pt 0.250 0.750 0.250
Pt 0.750 0.250 0.250
Pt 0.750 0.750 0.750

## Properties
Calculated volume (Å³ per cell): 276.69

Version x
LuFeGePt: relaxed, PBE.

Unit cell a=6.392 b=6.392 c=6.392 alpha=90.00 beta=90.00 gamma=90.00
Atoms (fractional coordinates):
Lu 0.000 0.000 0.000
Lu 0.000 0.500 0.500
Lu 0.500 0.000 0.500
Lu 0.500 0.500 0.000
Fe 0.250 0.250 0.750
Fe 0.250 0.750 0.250
Fe 0.750 0.250 0.250
Fe 0.750 0.750 0.750
Ge 0.000 0.000 0.500
Ge 0.000 0.500 0.000
Ge 0.500 0.000 0.000
Ge 0.500 0.500 0.500
Pt 0.250 0.250 0.250
Pt 0.250 0.750 0.750
Pt 0.750 0.250 0.750
Pt 0.750 0.750 0.250

## Properties
Calculated volume (Å³ per cell): 261.15

Most stable of them? version x.